Entry 1:
The following is a DFT calculation (GGA-PBE) of an optimized crystal structure of Bi3Sb2Pd7.

Lattice parameters (Å, degrees): 4.1754 4.0193 15.2113 90.00 97.70 90.00
Space group P2/m (No. 10)
Symmetry-distinct sites (fractional):
Bi 0.0000 0.0000 0.0000 x1
Bi 0.2956 0.5000 0.5928 x2
Sb 0.1282 0.0000 0.2605 x2
Pd 0.0712 0.5000 0.1453 x2
Pd 0.2190 0.0000 0.4360 x2
Pd 0.4262 0.0000 0.8502 x2
Pd 0.5000 0.5000 0.0000 x1

Size of the total moment, μB/f.u.: 0.00
Crystal system: monoclinic
Total DFT energy (no corrections), eV/cell: -59.21
N(E_F), states/eV/cell: 7.05
Mass density, g cm⁻³: 10.60
Formation energy without anion corrections, meV/atom: -248

Entry 2:
The following is a DFT calculation (GGA-PBE) of an optimized crystal structure of Bi5Sb2Pd12.

Lattice parameters (Å, degrees): 16.5090 7.5057 6.3690 90.00 102.49 90.00
Space group C2/m (No. 12)
Symmetry-distinct sites (fractional):
Bi 0.0000 0.0000 0.0000 x2
Bi 0.1875 0.0000 0.2497 x4
Bi 0.2326 0.5000 0.2024 x4
Sb 0.0000 0.2862 0.5000 x4
Pd 0.0461 0.5000 0.2174 x4
Pd 0.0902 0.0000 0.6418 x4
Pd 0.1051 0.3008 0.9150 x8
Pd 0.1694 0.3050 0.5252 x8

Size of the total moment, μB/f.u.: 0.00
Crystal system: monoclinic
Total DFT energy (no corrections), eV/cell: -188.93
N(E_F), states/eV/cell: 18.28
Mass density, g cm⁻³: 11.06
Formation energy without anion corrections, meV/atom: -237

Entry 3:
The following is a DFT calculation (GGA-PBE) of an optimized crystal structure of BiSb2Pd8.

Lattice parameters (Å, degrees): 7.6165 12.1099 4.7747 90.00 114.24 90.00
Space group C2/m (No. 12)
Symmetry-distinct sites (fractional):
Bi 0.0000 0.0000 0.0000 x2
Sb 0.0000 0.3141 0.5000 x4
Pd 0.0000 0.2259 0.0000 x4
Pd 0.1058 0.5000 0.8284 x4
Pd 0.2037 0.1209 0.6116 x8

Size of the total moment, μB/f.u.: 0.00
Crystal system: monoclinic
Total DFT energy (no corrections), eV/cell: -113.65
N(E_F), states/eV/cell: 12.05
Mass density, g cm⁻³: 10.78
Distance to the lowest polymorph of the same formula, meV per atom: 86
Formation energy without anion corrections, meV/atom: -287

Entry 4:
The following is a DFT calculation (GGA-PBE) of an optimized crystal structure of Bi2SbPd8.

Lattice parameters (Å, degrees): 15.1199 4.3327 6.2448 90.00 105.42 90.00
Space group C2/m (No. 12)
Symmetry-distinct sites (fractional):
Bi 0.2017 0.0000 0.1623 x4
Sb 0.0000 0.5000 0.5000 x2
Pd 0.0307 0.0000 0.2492 x4
Pd 0.0844 0.5000 0.9393 x4
Pd 0.1532 0.0000 0.6992 x4
Pd 0.1680 0.5000 0.4190 x4

Size of the total moment, μB/f.u.: 0.00
Crystal system: monoclinic
Total DFT energy (no corrections), eV/cell: -113.44
N(E_F), states/eV/cell: 9.00
Mass density, g cm⁻³: 11.71
Distance to the lowest polymorph of the same formula, meV per atom: 0
Formation energy without anion corrections, meV/atom: -299

Entry 5:
The following is a DFT calculation (GGA-PBE) of an optimized crystal structure of BiSbPd3.

Lattice parameters (Å, degrees): 10.3355 6.0612 6.6557 90.00 106.51 90.00
Space group C2/m (No. 12)
Symmetry-distinct sites (fractional):
Bi 0.0603 0.0000 0.2778 x4
Sb 0.1715 0.5000 0.0002 x4
Pd 0.0562 0.5000 0.3149 x4
Pd 0.1854 0.2436 0.6733 x8

Size of the total moment, μB/f.u.: 0.00
Crystal system: monoclinic
Total DFT energy (no corrections), eV/cell: -100.80
N(E_F), states/eV/cell: 8.83
Mass density, g cm⁻³: 10.80
Distance to the lowest polymorph of the same formula, meV per atom: 0
Formation energy without anion corrections, meV/atom: -324

Entry 6:
The following is a DFT calculation (GGA-PBE) of an optimized crystal structure of Bi4SbPd15.

Lattice parameters (Å, degrees): 4.1388 4.1388 20.4818 90.00 90.00 90.00
Space group P4/mmm (No. 123)
Symmetry-distinct sites (fractional):
Bi 0.0000 0.0000 0.1009 x2
Bi 0.0000 0.0000 0.3028 x2
Sb 0.0000 0.0000 0.5000 x1
Pd 0.0000 0.5000 0.0000 x2
Pd 0.0000 0.5000 0.2018 x4
Pd 0.0000 0.5000 0.4054 x4
Pd 0.5000 0.5000 0.1010 x2
Pd 0.5000 0.5000 0.3034 x2
Pd 0.5000 0.5000 0.5000 x1

Size of the total moment, μB/f.u.: 0.00
Crystal system: tetragonal
Total DFT energy (no corrections), eV/cell: -102.61
N(E_F), states/eV/cell: 15.92
Mass density, g cm⁻³: 12.09
Formation energy without anion corrections, meV/atom: -253

Entry 7:
The following is a DFT calculation (GGA-PBE) of an optimized crystal structure of Bi2Sb2Pd5.

Lattice parameters (Å, degrees): 12.7761 4.7414 8.2179 90.00 124.70 90.00
Space group C2/m (No. 12)
Symmetry-distinct sites (fractional):
Bi 0.1300 0.0000 0.4080 x4
Sb 0.1297 0.5000 0.9014 x4
Pd 0.0000 0.5000 0.5000 x2
Pd 0.1153 0.5000 0.2111 x4
Pd 0.1363 0.0000 0.7463 x4

Size of the total moment, μB/f.u.: 0.00
Crystal system: monoclinic
Total DFT energy (no corrections), eV/cell: -89.11
N(E_F), states/eV/cell: 6.70
Mass density, g cm⁻³: 9.69
Distance to the lowest polymorph of the same formula, meV per atom: 7
Formation energy without anion corrections, meV/atom: -287

Entry 8:
The following is a DFT calculation (GGA-PBE) of an optimized crystal structure of Bi2Sb2Pd5.

Lattice parameters (Å, degrees): 3.4279 7.5368 8.1180 116.83 90.09 103.04
Space group P-1 (No. 2)
Symmetry-distinct sites (fractional):
Bi 0.0747 0.1431 0.3836 x2
Sb 0.1570 0.3157 0.0325 x2
Pd 0.2779 0.5578 0.6683 x2
Pd 0.3702 0.7392 0.2646 x2
Pd 0.5000 0.0000 0.0000 x1

Size of the total moment, μB/f.u.: 0.00
Crystal system: triclinic
Total DFT energy (no corrections), eV/cell: -44.62
N(E_F), states/eV/cell: 3.80
Mass density, g cm⁻³: 10.95
Distance to the lowest polymorph of the same formula, meV per atom: 0
Formation energy without anion corrections, meV/atom: -294